First-principles (GGA-PBE) data for SrMg2P after structural relaxation, as listed in Alexandria.

Computed properties:
**Mass density**: 2.738 g/cm3
**V**: 25.3 A^3/atom
**DFT formation energy**: -0.131 eV per atom
**Size of the total moment**: 0.000 μB/f.u.

a b c (Å): 3.536 3.536 8.110
angles (deg): 90.00 90.00 89.98
Sites, in units of the cell vectors:
Mg 0.000 0.000 0.076
Mg 0.000 0.000 0.424
P 0.500 0.500 0.250
Sr 0.500 0.500 0.750